Compound: Rb2SrB2Se6
Source: the Alexandria database
Functional: PBE
Structure: optimized geometry

Cell and atoms, written as POSCAR:
```
Rb2SrB2Se6
1.0
6.685 -3.063 0.000
6.685 3.063 0.000
-5.156 0.000 9.122
Rb Sr B Se
2 1 2 6
Direct
0.191 0.191 0.147
0.809 0.809 0.853
0.000 0.000 0.500
0.419 0.419 0.732
0.581 0.581 0.268
0.226 0.717 0.222
0.262 0.262 0.680
0.283 0.774 0.778
0.717 0.226 0.222
0.738 0.738 0.320
0.774 0.283 0.778
```

Calculated values
The value obtained for the energy relative to the elements, uncorrected is -712 meV per atom. The spin magnetization is 0.18 μB per formula unit. Its density of states at the Fermi level is 3.617 states/eV/f.u.

Compound: MnTlSe2N
Source: the Alexandria database
Functional: PBE
Structure: optimized geometry

Cell and atoms, written as POSCAR:
```
MnTlSe2N
1.0
5.475 0.000 0.000
0.000 5.475 0.000
0.000 0.000 4.248
Mn Tl Se N
1 1 2 1
Direct
0.000 0.000 0.000
0.500 0.500 0.500
0.000 0.500 0.500
0.500 0.000 0.500
0.500 0.500 0.000
```

Calculated values
The calculation puts the energy above the most stable polymorph in this dataset at 1.161 eV per atom. The value obtained for the energy relative to the elements, uncorrected is 1242 meV per atom. The spin magnetization is 7.02 μB per formula unit. Its density of states at the Fermi level is 2.812 states/eV/f.u.